(1)
BeC: PBEsol geometry, meta-GGA SCAN.

E = -5.812 eV per atom
Symmetry = P4/nmm
Fermi-level density of states = 0.397 states/eV/atom
Density = 2.30 g/cm3

The structure in POSCAR format:
```
BeC
1.0
-2.5034 -0.2772 0.4423
-0.2738 -1.9941 -2.7997
0.6484 -2.7881 1.9225
C Be
2 2
direct
0.2418 0.5000 0.0000
0.7582 0.0000 0.5000
0.0000 0.0000 0.0000
0.0000 0.5000 0.5000
```

(2)
RbLiSn3: PBEsol geometry, meta-GGA SCAN.

E = -24.998 eV per atom
Symmetry = Pm-3m
Fermi-level density of states = 0.619 states/eV/atom
Density = 3.45 g/cm3

The structure in POSCAR format:
```
RbLiSn3
1.0
-2.0391 0.3361 5.6327
4.6690 -3.2627 1.8849
3.1687 5.0239 0.8473
Li Rb Sn
1 1 3
direct
0.5000 0.5000 0.5000
0.0000 0.0000 0.0000
0.0000 0.5000 0.0000
0.5000 0.0000 0.0000
0.0000 0.0000 0.5000
```

(3)
Mg4Cu5Te3O18: PBEsol geometry, meta-GGA SCAN.

E = -12.183 eV per atom
Symmetry = C2/c
Density = 5.41 g/cm3

The structure in POSCAR format:
```
Mg4Cu5Te3O18
1.0
-4.3791 7.3690 1.2107
-7.9677 -0.4378 3.3569
2.7102 1.4355 9.7536
O Mg Te Cu
36 8 6 10
direct
0.5707 0.5693 0.5806
0.2376 0.5798 0.6891
0.2403 0.9073 0.0523
0.7088 0.7821 0.8329
0.0840 0.0678 0.3291
0.9073 0.2403 0.5523
0.4509 0.1143 0.8827
0.0927 0.7597 0.4477
0.9160 0.9322 0.6709
0.5513 0.2481 0.6814
0.5693 0.5707 0.0806
0.4293 0.4307 0.4194
0.7711 0.0864 0.4267
0.5809 0.8793 0.5977
0.7821 0.7088 0.3329
0.5798 0.2376 0.1891
0.2481 0.5513 0.1814
0.9136 0.2289 0.0733
0.7597 0.0927 0.9477
0.0678 0.0840 0.8291
0.1207 0.4191 0.9023
0.1143 0.4509 0.3827
0.4487 0.7519 0.3186
0.4307 0.4293 0.9194
0.4202 0.7624 0.8109
0.4191 0.1207 0.4023
0.9322 0.9160 0.1709
0.0864 0.7711 0.9267
0.8793 0.5809 0.0977
0.7519 0.4487 0.8186
0.2179 0.2912 0.6671
0.7624 0.4202 0.3109
0.2289 0.9136 0.5733
0.2912 0.2179 0.1671
0.8857 0.5491 0.6173
0.5491 0.8857 0.1173
0.6640 0.9311 0.4179
0.3545 0.6737 0.4809
0.3263 0.6455 0.0191
0.6737 0.3545 0.9809
0.0689 0.3360 0.0821
0.9311 0.6640 0.9179
0.6455 0.3263 0.5191
0.3360 0.0689 0.5821
0.6624 0.6452 0.2048
0.6452 0.6624 0.7048
0.3376 0.3548 0.7952
0.3548 0.3376 0.2952
0.0000 0.0000 0.0000
0.0000 0.0000 0.5000
0.8312 0.1688 0.2500
0.1362 0.5316 0.5506
0.1688 0.8312 0.7500
0.5316 0.1362 0.0506
0.6788 0.0175 0.7616
0.4684 0.8638 0.9494
0.8638 0.4684 0.4494
0.3212 0.9825 0.2384
0.9825 0.3212 0.7384
0.0175 0.6788 0.2616
```

(4)
AgIrCl: PBEsol geometry, meta-GGA SCAN.

E = -35.699 eV per atom
Symmetry = F-43m
Fermi-level density of states = 1.050 states/eV/atom
Density = 9.78 g/cm3

The structure in POSCAR format:
```
AgIrCl
1.0
4.3185 0.0000 0.0000
2.1592 3.7399 0.0000
2.1592 1.2466 3.5260
Cl Ir Ag
1 1 1
direct
0.5000 0.5000 0.5000
0.2500 0.2500 0.2500
0.0000 0.0000 0.0000
```